Compound: Ba7AsN2
Source: the Alexandria database
Functional: PBE
Structure: relaxed

N(E_F) (states/eV/f.u.): 6.67
Crystal system: orthorhombic
Volume (Å³/cell): 488
Formation energy from raw total energies (eV/atom): -0.409
Total magnetic moment (Bohr magnetons per cell): 1.96

Cell lengths 11.2656, 11.2656, 4.2584 Å; angles 90.00, 90.00, 115.50 degrees
Sites, in units of the cell vectors:
1 Ba 0.0000 0.0000 0.0000
2 Ba 0.2287 0.7713 0.5000
3 Ba 0.2458 0.4531 0.0000
4 Ba 0.4531 0.2458 0.0000
5 Ba 0.5469 0.7542 0.0000
6 Ba 0.7542 0.5469 0.0000
7 Ba 0.7713 0.2287 0.5000
8 As 0.5000 0.5000 0.5000
9 N 0.3065 0.6935 0.0000
10 N 0.6935 0.3065 0.0000